# Tl2InFe | Alexandria via LeMat-Bulk | PBE | relaxed
data_Tl2InFe
_chemical_formula_sum 'Tl8 In4 Fe4'
_symmetry_space_group_name_H-M 'I -4 2 d'
_symmetry_Int_Tables_number 122
_symmetry_space_group_name_Hall 'I -4 2bw'
_cell_length_a 4.383
_cell_length_b 4.383
_cell_length_c 20.908
_cell_angle_alpha 90.00
_cell_angle_beta 90.00
_cell_angle_gamma 90.00
loop_
_atom_site_label
_atom_site_fract_x
_atom_site_fract_y
_atom_site_fract_z
Tl1 0.233 0.250 0.125
In1 0.000 0.000 0.500
Fe1 0.000 0.000 0.000
# * ΔE to the lowest computed polymorph: 267.6 meV per atom
# * volume: 25.105 A^3/atom
# * ΔE_f: 0.58 eV per atom
# * E_tot: -3.41 eV per atom